## w
The following is a PBE calculation of an optimized crystal structure of La3Pr2Nd7, from Alexandria.

Volume, Å³ per cell: 436

abc: 6.053 3.693 19.548
angles: 90.00 92.94 90.00
Element x y z (fractional)
1 La 0.000 0.000 0.000
2 La 0.277 0.500 0.633
3 La 0.723 0.500 0.367
4 Pr 0.212 0.000 0.294
5 Pr 0.788 0.000 0.706
6 Nd 0.187 0.500 0.144
7 Nd 0.244 0.000 0.463
8 Nd 0.311 0.000 0.825
9 Nd 0.500 0.500 0.000
10 Nd 0.689 0.000 0.175
11 Nd 0.756 0.000 0.537
12 Nd 0.813 0.500 0.856

## x
The following is a PBE calculation of an optimized crystal structure of La3Pr2Nd7, from Alexandria.

Volume, Å³ per cell: 451

abc: 3.722 5.837 20.832
angles: 90.00 95.06 90.00
Element x y z (fractional)
1 La 0.000 0.000 0.000
2 La 0.317 0.500 0.635
3 La 0.683 0.500 0.365
4 Pr 0.139 0.000 0.280
5 Pr 0.861 0.000 0.720
6 Nd 0.086 0.500 0.177
7 Nd 0.219 0.000 0.434
8 Nd 0.433 0.000 0.863
9 Nd 0.500 0.500 0.000
10 Nd 0.567 0.000 0.137
11 Nd 0.781 0.000 0.566
12 Nd 0.914 0.500 0.823

Energy above the most stable structure, in eV/atom: w 0.000; x 0.137

## w
The following is a PBE calculation of an optimized crystal structure of La5PrNd4, from Alexandria.

Volume, Å³ per cell: 363

abc: 14.668 14.668 7.049
angles: 97.26 97.26 13.94
Element x y z (fractional)
1 La 0.000 0.000 0.000
2 La 0.295 0.295 0.394
3 La 0.299 0.299 0.907
4 La 0.701 0.701 0.093
5 La 0.705 0.705 0.606
6 Pr 0.000 0.000 0.500
7 Nd 0.107 0.107 0.308
8 Nd 0.406 0.406 0.202
9 Nd 0.594 0.594 0.798
10 Nd 0.893 0.893 0.692

## x
The following is a PBE calculation of an optimized crystal structure of La5PrNd4, from Alexandria.

Volume, Å³ per cell: 762

abc: 6.976 9.298 11.744
angles: 90.00 90.00 90.00
Element x y z (fractional)
1 La 0.004 0.068 0.220
2 La 0.004 0.432 0.220
3 La 0.250 0.250 0.714
4 La 0.496 0.068 0.220
5 La 0.496 0.432 0.220
6 La 0.504 0.568 0.780
7 La 0.504 0.932 0.780
8 La 0.750 0.750 0.286
9 La 0.996 0.568 0.780
10 La 0.996 0.932 0.780
11 Pr 0.250 0.750 0.321
12 Pr 0.750 0.250 0.679
13 Nd 0.004 0.750 0.041
14 Nd 0.250 0.049 0.494
15 Nd 0.250 0.451 0.494
16 Nd 0.496 0.750 0.041
17 Nd 0.504 0.250 0.959
18 Nd 0.750 0.549 0.506
19 Nd 0.750 0.951 0.506
20 Nd 0.996 0.250 0.959

Energy above the most stable structure, in eV/atom: w 0.000; x 0.174

## w
The following is a PBE calculation of an optimized crystal structure of La2Pr5Nd12, from Alexandria.

Volume, Å³ per cell: 690

abc: 9.739 9.739 8.114
angles: 90.16 90.16 63.66
Element x y z (fractional)
1 La 0.215 0.785 0.000
2 La 0.785 0.215 0.000
3 Pr 0.000 0.000 0.500
4 Pr 0.249 0.249 0.485
5 Pr 0.354 0.354 0.925
6 Pr 0.646 0.646 0.075
7 Pr 0.751 0.751 0.515
8 Nd 0.035 0.579 0.207
9 Nd 0.162 0.162 0.123
10 Nd 0.170 0.619 0.610
11 Nd 0.381 0.830 0.390
12 Nd 0.421 0.965 0.793
13 Nd 0.449 0.449 0.291
14 Nd 0.551 0.551 0.709
15 Nd 0.579 0.035 0.207
16 Nd 0.619 0.170 0.610
17 Nd 0.830 0.381 0.390
18 Nd 0.838 0.838 0.877
19 Nd 0.965 0.421 0.793

## x
The following is a PBE calculation of an optimized crystal structure of La2Pr5Nd12, from Alexandria.

Volume, Å³ per cell: 688

abc: 9.394 9.394 8.973
angles: 92.54 92.54 60.48
Element x y z (fractional)
1 La 0.167 0.833 0.000
2 La 0.833 0.167 0.000
3 Pr 0.214 0.214 0.038
4 Pr 0.267 0.267 0.434
5 Pr 0.500 0.500 0.500
6 Pr 0.733 0.733 0.566
7 Pr 0.786 0.786 0.962
8 Nd 0.058 0.058 0.347
9 Nd 0.064 0.671 0.317
10 Nd 0.173 0.533 0.757
11 Nd 0.329 0.936 0.683
12 Nd 0.431 0.431 0.122
13 Nd 0.467 0.827 0.243
14 Nd 0.533 0.173 0.757
15 Nd 0.569 0.569 0.878
16 Nd 0.671 0.064 0.317
17 Nd 0.827 0.467 0.243
18 Nd 0.936 0.329 0.683
19 Nd 0.942 0.942 0.653

Energy above the most stable structure, in eV/atom: w 0.000; x 0.010

## w
The following is a PBE calculation of an optimized crystal structure of La3PrNd4, from Alexandria.

Volume, Å³ per cell: 576

abc: 10.540 7.389 7.390
angles: 90.00 90.00 90.00
Element x y z (fractional)
1 La 0.000 0.000 0.000
2 La 0.250 0.250 0.250
3 La 0.250 0.750 0.750
4 La 0.500 0.000 0.500
5 La 0.750 0.250 0.250
6 La 0.750 0.750 0.750
7 Pr 0.000 0.500 0.500
8 Pr 0.500 0.500 0.000
9 Nd 0.000 0.000 0.500
10 Nd 0.000 0.500 0.000
11 Nd 0.250 0.250 0.750
12 Nd 0.250 0.750 0.250
13 Nd 0.500 0.000 0.000
14 Nd 0.500 0.500 0.500
15 Nd 0.750 0.250 0.750
16 Nd 0.750 0.750 0.250

## x
The following is a PBE calculation of an optimized crystal structure of La3PrNd4, from Alexandria.

Volume, Å³ per cell: 577

abc: 12.001 6.456 7.453
angles: 90.00 90.00 90.00
Element x y z (fractional)
1 La 0.000 0.169 0.000
2 La 0.249 0.999 0.250
3 La 0.251 0.001 0.750
4 La 0.500 0.831 0.500
5 La 0.749 0.001 0.750
6 La 0.751 0.999 0.250
7 Pr 0.000 0.668 0.750
8 Pr 0.500 0.332 0.250
9 Nd 0.000 0.168 0.500
10 Nd 0.000 0.668 0.250
11 Nd 0.249 0.499 0.500
12 Nd 0.251 0.501 0.000
13 Nd 0.500 0.332 0.750
14 Nd 0.500 0.832 0.000
15 Nd 0.749 0.501 0.000
16 Nd 0.751 0.499 0.500

Energy above the most stable structure, in eV/atom: w 0.012; x 0.000

## w
The following is a PBE calculation of an optimized crystal structure of La4Pr3Nd, from Alexandria.

Volume, Å³ per cell: 294

abc: 9.187 9.187 3.518
angles: 90.00 90.00 98.26
Element x y z (fractional)
1 La 0.249 0.249 0.500
2 La 0.249 0.751 0.000
3 La 0.751 0.249 0.000
4 La 0.751 0.751 0.500
5 Pr 0.000 0.500 0.500
6 Pr 0.500 0.000 0.500
7 Pr 0.500 0.500 0.000
8 Nd 0.000 0.000 0.000

## x
The following is a PBE calculation of an optimized crystal structure of La4Pr3Nd, from Alexandria.

Volume, Å³ per cell: 581

abc: 10.578 7.414 7.412
angles: 90.00 90.00 90.00
Element x y z (fractional)
1 La 0.000 0.000 0.000
2 La 0.000 0.500 0.500
3 La 0.250 0.249 0.250
4 La 0.250 0.751 0.750
5 La 0.500 0.000 0.500
6 La 0.500 0.500 0.000
7 La 0.750 0.249 0.250
8 La 0.750 0.751 0.750
9 Pr 0.000 0.500 0.000
10 Pr 0.250 0.249 0.750
11 Pr 0.250 0.751 0.250
12 Pr 0.500 0.500 0.500
13 Pr 0.750 0.249 0.750
14 Pr 0.750 0.751 0.250
15 Nd 0.000 0.000 0.500
16 Nd 0.500 0.000 0.000

Energy above the most stable structure, in eV/atom: w 0.307; x 0.000

## w
The following is a PBE calculation of an optimized crystal structure of LaPrNd3, from Alexandria.

Volume, Å³ per cell: 363

abc: 6.971 6.971 8.924
angles: 106.58 106.58 62.56
Element x y z (fractional)
1 La 0.056 0.056 0.224
2 La 0.944 0.944 0.776
3 Pr 0.443 0.443 0.773
4 Pr 0.557 0.557 0.227
5 Nd 0.096 0.596 0.384
6 Nd 0.251 0.251 0.000
7 Nd 0.404 0.904 0.616
8 Nd 0.596 0.096 0.384
9 Nd 0.749 0.749 0.000
10 Nd 0.904 0.404 0.616

## x
The following is a PBE calculation of an optimized crystal structure of LaPrNd3, from Alexandria.

Volume, Å³ per cell: 718

abc: 10.456 3.710 18.508
angles: 90.00 90.00 90.00
Element x y z (fractional)
1 La 0.125 0.250 0.050
2 La 0.375 0.750 0.550
3 La 0.625 0.250 0.450
4 La 0.875 0.750 0.950
5 Pr 0.124 0.250 0.650
6 Pr 0.376 0.750 0.150
7 Pr 0.624 0.250 0.850
8 Pr 0.876 0.750 0.350
9 Nd 0.124 0.250 0.450
10 Nd 0.125 0.250 0.250
11 Nd 0.126 0.250 0.850
12 Nd 0.374 0.750 0.350
13 Nd 0.375 0.750 0.750
14 Nd 0.376 0.750 0.950
15 Nd 0.624 0.250 0.050
16 Nd 0.625 0.250 0.250
17 Nd 0.626 0.250 0.650
18 Nd 0.874 0.750 0.150
19 Nd 0.875 0.750 0.750
20 Nd 0.876 0.750 0.550

Energy above the most stable structure, in eV/atom: w 0.097; x 0.000

## w
The following is a PBE calculation of an optimized crystal structure of La7Pr2Nd3, from Alexandria.

Volume, Å³ per cell: 436

abc: 6.635 3.640 18.158
angles: 90.00 95.75 90.00
Element x y z (fractional)
1 La 0.000 0.000 0.000
2 La 0.222 0.500 0.169
3 La 0.262 0.500 0.492
4 La 0.276 0.000 0.834
5 La 0.724 0.000 0.166
6 La 0.738 0.500 0.508
7 La 0.778 0.500 0.831
8 Pr 0.063 0.500 0.668
9 Pr 0.937 0.500 0.332
10 Nd 0.451 0.000 0.336
11 Nd 0.500 0.500 0.000
12 Nd 0.549 0.000 0.664

## x
The following is a PBE calculation of an optimized crystal structure of La7Pr2Nd3, from Alexandria.

Volume, Å³ per cell: 439

abc: 6.006 3.675 20.092
angles: 90.00 98.45 90.00
Element x y z (fractional)
1 La 0.000 0.000 0.000
2 La 0.093 0.500 0.185
3 La 0.268 0.500 0.536
4 La 0.427 0.000 0.855
5 La 0.573 0.000 0.145
6 La 0.732 0.500 0.464
7 La 0.907 0.500 0.815
8 Pr 0.351 0.500 0.703
9 Pr 0.649 0.500 0.297
10 Nd 0.184 0.000 0.367
11 Nd 0.500 0.500 0.000
12 Nd 0.816 0.000 0.633

Energy above the most stable structure, in eV/atom: w 0.000; x 0.026

## w
The following is a PBE calculation of an optimized crystal structure of La3PrNd2, from Alexandria.

Volume, Å³ per cell: 441

abc: 6.912 18.194 3.507
angles: 90.00 90.00 90.00
Element x y z (fractional)
1 La 0.000 0.000 0.000
2 La 0.230 0.320 0.000
3 La 0.270 0.820 0.500
4 La 0.500 0.500 0.500
5 La 0.730 0.180 0.500
6 La 0.770 0.680 0.000
7 Pr 0.000 0.500 0.000
8 Pr 0.500 0.000 0.500
9 Nd 0.224 0.153 0.500
10 Nd 0.276 0.653 0.000
11 Nd 0.724 0.347 0.000
12 Nd 0.776 0.847 0.500

## x
The following is a PBE calculation of an optimized crystal structure of La3PrNd2, from Alexandria.

Volume, Å³ per cell: 435

abc: 11.823 11.823 3.596
angles: 90.00 90.00 120.00
Element x y z (fractional)
1 La 0.164 0.327 0.248
2 La 0.164 0.836 0.248
3 La 0.327 0.164 0.752
4 La 0.673 0.836 0.248
5 La 0.836 0.164 0.752
6 La 0.836 0.673 0.752
7 Pr 0.333 0.667 0.920
8 Pr 0.667 0.333 0.080
9 Nd 0.000 0.000 0.500
10 Nd 0.000 0.500 0.500
11 Nd 0.500 0.000 0.500
12 Nd 0.500 0.500 0.500

Energy above the most stable structure, in eV/atom: w 0.103; x 0.000